Record 1
Here is a geometry-optimized La4Hg2Ru structure from the Alexandria database. Energies are from PBE.

a = 5.4071 Å, b = 5.4071 Å, c = 8.8214 Å
α = 72.15°, β = 72.15°, γ = 90.00°
Positions (direct):
Hg 0.6239 0.6239 0.7521
Hg 0.3761 0.3761 0.2479
La 0.1814 0.1814 0.6372
La 0.0000 0.5000 0.0000
La 0.8186 0.8186 0.3628
La 0.5000 0.0000 0.0000
Ru 0.0000 0.0000 0.0000

The calculated density comes out at 7.6 Mg/m³. The value obtained for the total energy is -4.529 eV per atom. As for the spin magnetization: 0.00 μB per formula unit. The energy above the lowest structure with this stoichiometry is 95.9 meV per atom. The value obtained for the calculated formation energy is -0.302 eV/atom.

=====

Record 2
Here is a geometry-optimized LaHgRu2 structure from the Alexandria database. Energies are from PBE.

a = 3.5010 Å, b = 3.5010 Å, c = 6.3785 Å
α = 90.00°, β = 90.00°, γ = 90.00°
Positions (direct):
Ru 0.0000 0.0000 0.0183
Ru 0.0000 0.0000 0.4817
La 0.5000 0.5000 0.7500
Hg 0.5000 0.5000 0.2500

The calculated density comes out at 11.5 Mg/m³. The value obtained for the total energy is -5.607 eV per atom. As for the spin magnetization: 0.33 μB per formula unit. The value obtained for the calculated formation energy is 0.338 eV/atom.

=====

Record 3
Here is a geometry-optimized La2SnHgRu structure from the Alexandria database. Energies are from PBE.

a = 5.4627 Å, b = 5.4627 Å, c = 5.1407 Å
α = 90.00°, β = 90.00°, γ = 90.00°
Positions (direct):
Hg 0.5000 0.5000 0.5000
La 0.0000 0.5000 0.0000
La 0.5000 0.0000 0.0000
Sn 0.0000 0.0000 0.5000
Ru 0.0000 0.0000 0.0000

The calculated density comes out at 7.6 Mg/m³. The value obtained for the total energy is -5.104 eV per atom. As for the spin magnetization: 0.00 μB per formula unit. The value obtained for the calculated formation energy is -0.417 eV/atom.

=====

Record 4
Here is a geometry-optimized La2TcHgRu structure from the Alexandria database. Energies are from PBE.

a = 5.2340 Å, b = 5.1725 Å, c = 5.2340 Å
α = 90.00°, β = 90.00°, γ = 90.00°
Positions (direct):
Hg 0.0000 0.5000 0.0000
La 0.5000 0.0000 0.0000
La 0.0000 0.0000 0.5000
Tc 0.5000 0.5000 0.5000
Ru 0.0000 0.0000 0.0000

The calculated density comes out at 7.9 Mg/m³. The value obtained for the total energy is -5.302 eV per atom. As for the spin magnetization: 0.12 μB per formula unit. The value obtained for the calculated formation energy is 0.658 eV/atom.